# 1
! PBE HgMoSe2, optimized geometry; values from VASP
&SYSTEM
  ibrav = 0, nat = 4, ntyp = 3
/
ATOMIC_SPECIES
Hg 200.59 Hg.upf
Mo 95.94 Mo.upf
Se 78.96 Se.upf
ATOMIC_POSITIONS crystal
Hg 0.000 0.000 0.000
Mo 0.500 0.500 0.000
Se 0.000 0.500 0.500
Se 0.500 0.000 0.500
CELL_PARAMETERS angstrom
3.417 -3.425 0.000
3.417 3.425 0.000
0.000 0.000 3.394
! - space group = No. 65
! - raw formation energy (eV per atom) = 0.531
! - magnetization (μB per formula unit) = 2.411



# 2
! PBE TmGe2Bi, optimized geometry; values from VASP
&SYSTEM
  ibrav = 0, nat = 4, ntyp = 3
/
ATOMIC_SPECIES
Tm 168.93 Tm.upf
Ge 72.64 Ge.upf
Bi 208.98 Bi.upf
ATOMIC_POSITIONS crystal
Tm 0.000 0.000 0.000
Ge 0.377 0.377 0.377
Ge 0.623 0.623 0.623
Bi 0.500 0.500 0.500
CELL_PARAMETERS angstrom
2.337 1.349 7.296
-2.337 1.349 7.296
0.000 -2.699 7.296
! - space group = No. 166
! - energy relative to the lowest polymorph listed for this composition (kJ per mole of atoms) = 52.4
! - magnetization (μB per formula unit) = 0.000



Which value of magnetization does entry 2 give? 0.000 μB per formula unit



Among the records above, which one has the lowest magnetization? TmGe2Bi



magnetization of number 1 (HgMoSe2)? 2.411 μB per formula unit